1.
## AlAgHg2 (PBE)

Data for crystalline AlAgHg2 at its relaxed geometry.

POSCAR file:
```
AlAgHg2
1.0
1.586 0.916 9.501
-1.586 0.916 9.501
0.000 -1.832 9.501
Al Ag Hg
1 1 2
Direct
0.000 0.000 0.000
0.738 0.738 0.738
0.254 0.254 0.254
0.490 0.490 0.490
```

Properties
Crystal system: trigonal
DOS(E_F), states/eV/atom: 0.123
Space-group type: R3m, No. 160
Final energy, eV for the cell shown: -6.94
Formation energy, eV/atom: 0.0642

---

2.
## AlAg2Hg (PBE)

Data for crystalline AlAg2Hg at its relaxed geometry.

POSCAR file:
```
AlAg2Hg
1.0
3.527 0.000 0.000
0.000 3.527 0.000
0.000 0.000 6.025
Al Ag Hg
1 2 1
Direct
0.000 0.000 0.000
0.000 0.000 0.531
0.500 0.500 0.780
0.500 0.500 0.267
```

Properties
Crystal system: tetragonal
DOS(E_F), states/eV/atom: 0.430
Space-group type: P4mm, No. 99
Final energy, eV for the cell shown: -9.52
Formation energy, eV/atom: 0.0569

---

3.
## Al2AgHg (PBE)

Data for crystalline Al2AgHg at its relaxed geometry.

POSCAR file:
```
Al2AgHg
1.0
2.979 0.000 0.000
0.000 4.089 0.000
0.000 0.000 6.113
Al Ag Hg
2 1 1
Direct
0.000 0.000 0.000
0.500 0.500 0.247
0.500 0.500 0.795
0.000 0.000 0.503
```

Properties
Crystal system: orthorhombic
DOS(E_F), states/eV/atom: 0.304
Space-group type: Pmm2, No. 25
Final energy, eV for the cell shown: -10.28
Formation energy, eV/atom: 0.0895

---

4.
## Al2AgHg (PBE)

Data for crystalline Al2AgHg at its relaxed geometry.

POSCAR file:
```
Al2AgHg
1.0
1.425 -2.815 0.000
1.425 2.815 0.000
0.000 0.000 9.771
Al Ag Hg
2 1 1
Direct
0.000 0.000 0.239
0.000 0.000 0.761
0.500 0.500 0.000
0.500 0.500 0.500
```

Properties
Crystal system: orthorhombic
DOS(E_F), states/eV/atom: 0.359
Space-group type: Cmmm, No. 65
Final energy, eV for the cell shown: -10.00
Formation energy, eV/atom: 0.1594

---

5.
## Al2Ag2Hg (PBE)

Data for crystalline Al2Ag2Hg at its relaxed geometry.

POSCAR file:
```
Al2Ag2Hg
1.0
8.183 0.000 0.000
0.000 8.183 0.000
0.000 0.000 2.843
Al Ag Hg
4 4 2
Direct
0.122 0.378 0.000
0.378 0.878 0.000
0.622 0.122 0.000
0.878 0.622 0.000
0.175 0.675 0.500
0.325 0.175 0.500
0.675 0.825 0.500
0.825 0.325 0.500
0.000 0.000 0.000
0.500 0.500 0.000
```

Properties
Crystal system: tetragonal
DOS(E_F), states/eV/atom: 0.368
Space-group type: P4/mbm, No. 127
Final energy, eV for the cell shown: -26.59
Formation energy, eV/atom: 0.0391

---

6.
## Ho4AlAg2Hg (PBE)

Data for crystalline Ho4AlAg2Hg at its relaxed geometry.

POSCAR file:
```
Ho4AlAg2Hg
1.0
2.574 1.486 8.424
-2.574 1.486 8.424
0.000 -2.972 8.424
Ho Al Ag Hg
4 1 2 1
Direct
0.124 0.124 0.124
0.374 0.374 0.374
0.626 0.626 0.626
0.876 0.876 0.876
0.000 0.000 0.000
0.253 0.253 0.253
0.747 0.747 0.747
0.500 0.500 0.500
```

Properties
Crystal system: trigonal
DOS(E_F), states/eV/atom: 0.632
Space-group type: R-3m, No. 166
Final energy, eV for the cell shown: -31.10
Formation energy, eV/atom: -0.3802

---

7.
## AlAg2HgI (PBE)

Data for crystalline AlAg2HgI at its relaxed geometry.

POSCAR file:
```
AlAg2HgI
1.0
5.474 0.000 0.000
0.000 5.474 0.000
0.000 0.000 6.230
Al Ag Hg I
1 2 1 1
Direct
0.000 0.000 0.000
0.000 0.500 0.500
0.500 0.000 0.500
0.500 0.500 0.000
0.000 0.000 0.500
```

Properties
Uncorrected formation energy, eV per atom: 0.738
Crystal system: tetragonal
DOS(E_F), states/eV/atom: 0.318
Space-group type: P4/mmm, No. 123
Final energy, eV for the cell shown: -7.61

---

8.
## AlAgHg2I4 (PBE)

Data for crystalline AlAgHg2I4 at its relaxed geometry.

POSCAR file:
```
AlAgHg2I4
1.0
0.000 7.357 14.683
3.539 0.000 14.683
3.539 7.357 0.000
Al Ag Hg I
2 2 4 8
Direct
0.125 0.125 0.125
0.875 0.875 0.875
0.375 0.375 0.375
0.625 0.625 0.625
0.206 0.206 0.544
0.456 0.456 0.794
0.544 0.544 0.206
0.794 0.794 0.456
0.044 0.807 0.509
0.140 0.509 0.807
0.193 0.956 0.860
0.491 0.860 0.956
0.509 0.140 0.044
0.807 0.044 0.140
0.860 0.491 0.193
0.956 0.193 0.491
```

Properties
Uncorrected formation energy, eV per atom: -0.374
Crystal system: orthorhombic
DOS(E_F), states/eV/atom: 0.000
Space-group type: Fddd, No. 70
Final energy, eV for the cell shown: -32.78

---

9.
## AlInAgHg (PBE)

Data for crystalline AlInAgHg at its relaxed geometry.

POSCAR file:
```
AlInAgHg
1.0
0.000 3.509 3.509
3.509 0.000 3.509
3.509 3.509 0.000
Al In Ag Hg
1 1 1 1
Direct
0.000 0.000 0.000
0.750 0.750 0.750
0.500 0.500 0.500
0.250 0.250 0.250
```

Properties
Crystal system: cubic
DOS(E_F), states/eV/atom: 0.164
Space-group type: F-43m, No. 216
Final energy, eV for the cell shown: -9.04
Formation energy, eV/atom: 0.1480

---

10.
## KAlAgHg2 (PBE)

Data for crystalline KAlAgHg2 at its relaxed geometry.

POSCAR file:
```
KAlAgHg2
1.0
5.340 0.000 0.000
0.000 5.340 0.000
0.000 0.000 5.168
K Al Ag Hg
1 1 1 2
Direct
0.000 0.000 0.000
0.500 0.500 0.500
0.500 0.500 0.000
0.000 0.500 0.500
0.500 0.000 0.500
```

Properties
Crystal system: tetragonal
DOS(E_F), states/eV/atom: 0.365
Space-group type: P4/mmm, No. 123
Final energy, eV for the cell shown: -8.49
Formation energy, eV/atom: -0.0393

---

11.
## La4AlAg2Hg (PBE)

Data for crystalline La4AlAg2Hg at its relaxed geometry.

POSCAR file:
```
La4AlAg2Hg
1.0
2.718 1.569 8.921
-2.718 1.569 8.921
0.000 -3.138 8.921
La Al Ag Hg
4 1 2 1
Direct
0.123 0.123 0.123
0.374 0.374 0.374
0.626 0.626 0.626
0.877 0.877 0.877
0.000 0.000 0.000
0.251 0.251 0.251
0.749 0.749 0.749
0.500 0.500 0.500
```

Properties
Crystal system: trigonal
DOS(E_F), states/eV/atom: 1.155
Space-group type: R-3m, No. 166
Final energy, eV for the cell shown: -32.14
Formation energy, eV/atom: -0.3352

---

12.
## LaAlAgHg (PBE)

Data for crystalline LaAlAgHg at its relaxed geometry.

POSCAR file:
```
LaAlAgHg
1.0
0.000 3.612 3.612
3.612 0.000 3.612
3.612 3.612 0.000
La Al Ag Hg
1 1 1 1
Direct
0.000 0.000 0.000
0.500 0.500 0.500
0.250 0.250 0.250
0.750 0.750 0.750
```

Properties
Crystal system: cubic
DOS(E_F), states/eV/atom: 0.492
Space-group type: F-43m, No. 216
Final energy, eV for the cell shown: -13.10
Formation energy, eV/atom: -0.3199